(1)
Y2Ho2Er2Tm: relaxed, PBE.

CIF file:
```
data_Y2Ho2Er2Tm
_chemical_formula_sum 'Y2 Ho2 Er2 Tm1'
_cell_length_a 8.7099
_cell_length_b 8.7099
_cell_length_c 8.7099
_cell_angle_alpha 37.67
_cell_angle_beta 37.67
_cell_angle_gamma 37.67
_symmetry_space_group_name_H-M 'P 1'
_symmetry_Int_Tables_number 1
loop_
_symmetry_equiv_pos_as_xyz
'x,y,z'
loop_
_atom_site_label
_atom_site_type_symbol
_atom_site_fract_x
_atom_site_fract_y
_atom_site_fract_z
Y1 Y 0.1422 0.1422 0.1422
Y2 Y 0.8578 0.8578 0.8578
Ho1 Ho 0.4278 0.4278 0.4278
Ho2 Ho 0.5722 0.5722 0.5722
Er1 Er 0.2863 0.2863 0.2863
Er2 Er 0.7137 0.7137 0.7137
Tm1 Tm 0.0000 0.0000 0.0000
```

- energy of formation from the pure elements (eV per atom) = 0.14
- final energy (eV/cell) = -34.70
- D(E_F) (states/eV per cell) = 18.0
- space group = R-3m


(2)
Ca2AcNd: relaxed, PBE.

CIF file:
```
data_Ca2AcNd
_chemical_formula_sum 'Ca2 Ac1 Nd1'
_cell_length_a 12.8348
_cell_length_b 12.8348
_cell_length_c 12.8348
_cell_angle_alpha 17.18
_cell_angle_beta 17.18
_cell_angle_gamma 17.18
_symmetry_space_group_name_H-M 'P 1'
_symmetry_Int_Tables_number 1
loop_
_symmetry_equiv_pos_as_xyz
'x,y,z'
loop_
_atom_site_label
_atom_site_type_symbol
_atom_site_fract_x
_atom_site_fract_y
_atom_site_fract_z
Ca1 Ca 0.0000 0.0000 0.0000
Ca2 Ca 0.1613 0.1613 0.1613
Ac1 Ac 0.5805 0.5805 0.5805
Nd1 Nd 0.4142 0.4142 0.4142
```

- energy of formation from the pure elements (eV per atom) = 0.07
- final energy (eV/cell) = -12.60
- D(E_F) (states/eV per cell) = 6.4
- energy relative to the lowest polymorph listed for this composition (kJ/mol of atoms) = 4.5
- space group = R3m


(3)
Na2IrO3: relaxed, PBE.

CIF file:
```
data_Na2IrO3
_chemical_formula_sum 'Na4 Ir2 O6'
_cell_length_a 6.0798
_cell_length_b 6.0798
_cell_length_c 6.0798
_cell_angle_alpha 51.81
_cell_angle_beta 51.81
_cell_angle_gamma 51.81
_symmetry_space_group_name_H-M 'P 1'
_symmetry_Int_Tables_number 1
loop_
_symmetry_equiv_pos_as_xyz
'x,y,z'
loop_
_atom_site_label
_atom_site_type_symbol
_atom_site_fract_x
_atom_site_fract_y
_atom_site_fract_z
Na1 Na 0.1778 0.1778 0.1778
Na2 Na 0.3222 0.3222 0.3222
Na3 Na 0.6778 0.6778 0.6778
Na4 Na 0.8222 0.8222 0.8222
Ir1 Ir 0.0000 0.0000 0.0000
Ir2 Ir 0.5000 0.5000 0.5000
O1 O 0.1309 0.7500 0.3691
O2 O 0.2500 0.6309 0.8691
O3 O 0.3691 0.1309 0.7500
O4 O 0.6309 0.8691 0.2500
O5 O 0.7500 0.3691 0.1309
O6 O 0.8691 0.2500 0.6309
```

- ΔE_f (raw) (kJ/mol of atoms) = -92
- final energy (eV/cell) = -64.21
- D(E_F) (states/eV per cell) = 8.0
- energy relative to the lowest polymorph listed for this composition (kJ/mol of atoms) = 22.8
- space group = R-3c


(4)
YI2O2: relaxed, PBE.

CIF file:
```
data_YI2O2
_chemical_formula_sum 'Y1 I2 O2'
_cell_length_a 4.7966
_cell_length_b 4.7966
_cell_length_c 4.4716
_cell_angle_alpha 90.00
_cell_angle_beta 90.00
_cell_angle_gamma 90.00
_symmetry_space_group_name_H-M 'P 1'
_symmetry_Int_Tables_number 1
loop_
_symmetry_equiv_pos_as_xyz
'x,y,z'
loop_
_atom_site_label
_atom_site_type_symbol
_atom_site_fract_x
_atom_site_fract_y
_atom_site_fract_z
Y1 Y 0.0000 0.0000 0.0000
I1 I 0.0000 0.5000 0.5000
I2 I 0.5000 0.0000 0.5000
O1 O 0.5000 0.5000 0.0000
O2 O 0.5000 0.5000 0.5000
```

- ΔE_f (raw) (kJ/mol of atoms) = -3
- final energy (eV/cell) = -19.65
- D(E_F) (states/eV per cell) = 2.6
- energy relative to the lowest polymorph listed for this composition (kJ/mol of atoms) = 98.2
- space group = P4/mmm


(5)
Cd2SiCl: relaxed, PBE.

CIF file:
```
data_Cd2SiCl
_chemical_formula_sum 'Cd2 Si1 Cl1'
_cell_length_a 3.3744
_cell_length_b 4.7275
_cell_length_c 5.5307
_cell_angle_alpha 90.00
_cell_angle_beta 90.00
_cell_angle_gamma 90.00
_symmetry_space_group_name_H-M 'P 1'
_symmetry_Int_Tables_number 1
loop_
_symmetry_equiv_pos_as_xyz
'x,y,z'
loop_
_atom_site_label
_atom_site_type_symbol
_atom_site_fract_x
_atom_site_fract_y
_atom_site_fract_z
Cd1 Cd 0.0000 0.0000 0.0000
Cd2 Cd 0.5000 0.5000 0.5000
Si1 Si 0.0000 0.0000 0.5000
Cl1 Cl 0.5000 0.5000 0.0000
```

- ΔE_f (raw) (kJ/mol of atoms) = -6
- final energy (eV/cell) = -9.35
- D(E_F) (states/eV per cell) = 1.3
- energy relative to the lowest polymorph listed for this composition (kJ/mol of atoms) = 1.4
- space group = Pmmm


(6)
NpTaMo2: relaxed, PBE.

CIF file:
```
data_NpTaMo2
_chemical_formula_sum 'Np1 Ta1 Mo2'
_cell_length_a 3.2781
_cell_length_b 3.2781
_cell_length_c 6.6175
_cell_angle_alpha 90.00
_cell_angle_beta 90.00
_cell_angle_gamma 90.00
_symmetry_space_group_name_H-M 'P 1'
_symmetry_Int_Tables_number 1
loop_
_symmetry_equiv_pos_as_xyz
'x,y,z'
loop_
_atom_site_label
_atom_site_type_symbol
_atom_site_fract_x
_atom_site_fract_y
_atom_site_fract_z
Np1 Np 0.0000 0.0000 0.0000
Ta1 Ta 0.0000 0.0000 0.5000
Mo1 Mo 0.5000 0.5000 0.2541
Mo2 Mo 0.5000 0.5000 0.7459
```

- energy of formation from the pure elements (eV per atom) = 0.17
- final energy (eV/cell) = -45.77
- D(E_F) (states/eV per cell) = 5.3
- space group = P4/mmm